4
Lattice="4.4393 0.0000 0.0000 2.2197 3.8446 0.0000 2.2197 1.2815 3.6247" Properties=species:S:1:pos:R:3 comment="ZrGaNiOs (PBE, optimized geometry)" dos_ef_per_ev_atom=0.818 crystal_system=cubic total_energy_ev_per_atom=-7.48 delta_e_f_ev_per_atom=-0.338 pbc="T T T"
Ga 4.4393 2.5631 1.8124
Zr 0.0000 0.0000 0.0000
Ni 2.2197 1.2815 0.9062
Os 6.6590 3.8446 2.7185